[1]
First-principles (GGA-PBE) data for Na3Dy2HoSe6 after structural relaxation, as listed in Alexandria via LeMat-Bulk.

Structure (extended XYZ):
```
12
Lattice="3.5852 -6.2102 0.0000 3.5852 6.2102 0.0000 -2.3903 0.0000 7.0055" Properties=species:S:1:pos:R:3 pbc="T T T"
Na 0.0000 0.0000 0.0000
Na 3.5852 2.0724 0.0000
Na 3.5852 -2.0724 0.0000
Dy 2.3901 4.1406 3.5028
Dy 2.3901 -4.1406 3.5028
Ho 2.3901 0.0000 3.5028
Se 1.1987 2.0639 1.8978
Se 0.0074 0.0000 5.1074
Se 1.1987 -2.0639 1.8978
Se 3.5814 2.0639 5.1077
Se 4.7727 0.0000 1.8981
Se 3.5814 -2.0639 5.1077
```

Properties
Space-group type: C2/m (12)
Energy relative to the elements, uncorrected in eV/atom: -1.71
Calculated total energy in eV per atom: -4.928

[2]
First-principles (GGA-PBE) data for Na2Dy3HoSe6 after structural relaxation, as listed in Alexandria via LeMat-Bulk.

Structure (extended XYZ):
```
12
Lattice="3.5504 -6.1416 0.0000 3.5504 6.1416 0.0000 -2.3585 0.0000 6.7648" Properties=species:S:1:pos:R:3 pbc="T T T"
Na 3.5504 4.1048 0.0000
Na 3.5504 -4.1048 0.0000
Dy -1.1792 0.0000 3.3824
Dy 2.3712 2.0802 3.3824
Dy 2.3712 -2.0802 3.3824
Ho 3.5504 0.0000 0.0000
Se 0.0243 2.0165 5.0579
Se 1.2269 0.0000 1.7340
Se 0.0243 -2.0165 5.0579
Se 4.7181 2.0165 1.7068
Se 3.5154 0.0000 5.0308
Se 4.7181 -2.0165 1.7068
```

Properties
Space-group type: C2/m (12)
Energy relative to the elements, uncorrected in eV/atom: -1.71
Calculated total energy in eV per atom: -5.209

What are the DOS at the Fermi energy values for these records? In order: 0.000, 0.260 states/eV/atom.